VASP calculation (GGA-PBE) on crystalline Te2AsCl at its relaxed geometry.

## Properties
Electronic total energy: -12.88 eV per formula unit
Size of the total moment: 0.00 μB per cell
Relative energy among the computed polymorphs: 117 meV per atom
ΔE_f (raw): -0.03 eV per atom

Cell: 5.850 5.850 5.992 Å, 83.34 83.34 39.42°
Atoms (fractional coordinates):
As  0.521  0.521  0.624
Te  0.987  0.987  0.963
Te  0.834  0.834  0.606
Cl  0.158  0.158  0.307